(1)
Here is an optimized crystal structure of NiP2Ir from Alexandria via LeMat-Bulk. Energies are from GGA-PBE.

Summary:
Polymorph energy (0 for the lowest one) = 432 meV per atom
Energy relative to the elements = 0.072 eV per atom
Fermi-level density of states = 0.721 states/eV per atom

a = 4.6644 Å, b = 3.8032 Å, c = 3.8074 Å
α = 87.76°, β = 66.91°, γ = 113.06°
Closest atoms and distances in Å follow each position.
Fractional positions:
Ir  0.5000  0.5000  0.0000  4 P 2.36, 2 Ni 2.64
Ni  0.5000  0.0000  0.5000  4 P 2.36, 2 Ir 2.64
P  0.0000  0.0000  0.0000  2 Ir 2.36, 2 Ni 2.36, 2 P 2.64
P  0.0000  0.5000  0.5000  2 Ni 2.36, 2 Ir 2.36, 2 P 2.64

=====

(2)
Here is an optimized crystal structure of NiP2Ir from Alexandria via LeMat-Bulk. Energies are from GGA-PBE.

Summary:
Polymorph energy (0 for the lowest one) = 368 meV per atom
Energy relative to the elements = 0.008 eV per atom
Fermi-level density of states = 0.984 states/eV per atom

a = 4.1687 Å, b = 4.1687 Å, c = 4.1687 Å
α = 60.00°, β = 60.00°, γ = 60.00°
Closest atoms and distances in Å follow each position.
Fractional positions:
Ir  0.5000  0.5000  0.5000  8 P 2.55
Ni  0.0000  0.0000  0.0000  8 P 2.55
P  0.2500  0.2500  0.2500  4 Ni 2.55, 4 Ir 2.55
P  0.7500  0.7500  0.7500  4 Ni 2.55, 4 Ir 2.55

=====

(3)
Here is an optimized crystal structure of NiPIr2 from Alexandria via LeMat-Bulk. Energies are from GGA-PBE.

Summary:
Energy relative to the elements = 0.002 eV per atom
Fermi-level density of states = 1.056 states/eV per atom

a = 4.2661 Å, b = 4.2661 Å, c = 4.7793 Å
α = 78.27°, β = 78.27°, γ = 38.65°
Closest atoms and distances in Å follow each position.
Fractional positions:
P  0.5000  0.5000  0.0000  6 Ir 2.48-2.60, 4 Ni 2.78
Ir  0.7591  0.7591  0.2441  3 P 2.48-2.60, 3 Ni 2.51-2.60, 2 Ir 2.76
Ir  0.2409  0.2409  0.7559  3 P 2.48-2.60, 3 Ni 2.51-2.60, 2 Ir 2.76
Ni  0.0000  0.0000  0.5000  6 Ir 2.51-2.60, 4 P 2.78

=====

(4)
Here is an optimized crystal structure of NiP4Ir from Alexandria via LeMat-Bulk. Energies are from GGA-PBE.

Summary:
Energy relative to the elements = 0.828 eV per atom
Fermi-level density of states = 1.005 states/eV per atom

a = 4.8940 Å, b = 4.8940 Å, c = 4.8940 Å
α = 60.00°, β = 60.00°, γ = 60.00°
Closest atoms and distances in Å follow each position.
Fractional positions:
P  0.8817  0.3728  0.3728  6 P 2.40-2.49
P  0.3728  0.3728  0.8817  6 P 2.40-2.49
Ni  0.0000  0.0000  0.0000  12 P 2.86, 4 Ir 3.00
P  0.3728  0.3728  0.3728  6 P 2.40-2.49
P  0.3728  0.8817  0.3728  6 P 2.40-2.49
Ir  0.7500  0.7500  0.7500  12 P 2.87, 4 Ni 3.00

=====

(5)
Here is an optimized crystal structure of NiPIr2 from Alexandria via LeMat-Bulk. Energies are from GGA-PBE.

Summary:
Energy relative to the elements = -0.045 eV per atom
Fermi-level density of states = 1.033 states/eV per atom

a = 3.7818 Å, b = 2.8776 Å, c = 5.1414 Å
α = 74.61°, β = 90.00°, γ = 90.00°
Closest atoms and distances in Å follow each position.
Fractional positions:
Ir  0.0000  0.1432  0.7377  2 P 2.34, 1 Ir 2.60
Ni  0.5000  0.5000  0.0000  2 P 2.57, 8 Ir 2.68-2.74, 2 Ni 2.88
P  0.5000  0.5000  0.5000  4 Ir 2.34, 2 Ni 2.57
Ir  0.0000  0.8568  0.2623  2 P 2.34, 1 Ir 2.60

=====

(6)
Here is an optimized crystal structure of Ni2PIr from Alexandria via LeMat-Bulk. Energies are from GGA-PBE.

Summary:
Energy relative to the elements = -0.079 eV per atom
Fermi-level density of states = 0.889 states/eV per atom

a = 4.3619 Å, b = 4.3619 Å, c = 2.7975 Å
α = 90.00°, β = 90.00°, γ = 113.14°
Closest atoms and distances in Å follow each position.
Fractional positions:
P  0.0000  0.0000  0.5000  2 Ir 2.40, 8 Ni 2.59
Ni  0.5000  0.0000  0.0000  2 Ni 2.40, 4 P 2.59, 4 Ir 2.59
Ir  0.5000  0.5000  0.5000  2 P 2.40, 8 Ni 2.59
Ni  0.0000  0.5000  0.0000  2 Ni 2.40, 4 Ir 2.59, 4 P 2.59

=====

(7)
Here is an optimized crystal structure of NiP2Ir from Alexandria via LeMat-Bulk. Energies are from GGA-PBE.

Summary:
Polymorph energy (0 for the lowest one) = 246 meV per atom
Energy relative to the elements = -0.114 eV per atom
Fermi-level density of states = 0.705 states/eV per atom

a = 3.9426 Å, b = 3.9426 Å, c = 4.9586 Å
α = 78.83°, β = 78.83°, γ = 43.38°
Closest atoms and distances in Å follow each position.
Fractional positions:
P  0.0035  0.0035  0.0145  3 Ni 2.35-2.46, 3 Ir 2.47-2.49
Ni  0.2500  0.2500  0.2500  6 P 2.35-2.46
P  0.4965  0.4965  0.4855  3 Ni 2.35-2.46, 3 Ir 2.47-2.49
Ir  0.7500  0.7500  0.7500  6 P 2.47-2.49

=====

(8)
Here is an optimized crystal structure of NiP2Ir from Alexandria via LeMat-Bulk. Energies are from GGA-PBE.

Summary:
Polymorph energy (0 for the lowest one) = 619 meV per atom
Energy relative to the elements = 0.259 eV per atom
Fermi-level density of states = 0.923 states/eV per atom

a = 2.8587 Å, b = 4.7672 Å, c = 3.9246 Å
α = 90.00°, β = 90.00°, γ = 90.00°
Closest atoms and distances in Å follow each position.
Fractional positions:
P  0.5000  0.5000  0.0000  4 Ni 2.43
Ni  0.0000  0.5000  0.5000  4 P 2.43
P  0.0000  0.0000  0.0000  4 Ir 2.43
Ir  0.5000  0.0000  0.5000  4 P 2.43

=====

(9)
Here is an optimized crystal structure of Ni2PIr from Alexandria via LeMat-Bulk. Energies are from GGA-PBE.

Summary:
Energy relative to the elements = 0.208 eV per atom
Fermi-level density of states = 1.288 states/eV per atom

a = 2.7307 Å, b = 2.7307 Å, c = 7.8414 Å
α = 90.00°, β = 90.00°, γ = 118.37°
Closest atoms and distances in Å follow each position.
Fractional positions:
Ir  0.5000  0.5000  0.2680  2 P 2.37, 2 Ni 2.59
Ni  0.0000  0.0000  0.9898  6 Ni 2.47-2.73, 2 Ir 2.59
P  0.0000  0.0000  0.5125  2 Ni 2.20, 2 Ir 2.37
Ni  0.5000  0.5000  0.7297  2 P 2.20

=====

(10)
Here is an optimized crystal structure of Ni2PIr from Alexandria via LeMat-Bulk. Energies are from GGA-PBE.

Summary:
Energy relative to the elements = -0.096 eV per atom
Fermi-level density of states = 0.858 states/eV per atom

a = 4.2863 Å, b = 4.2863 Å, c = 4.2863 Å
α = 127.87°, β = 127.87°, γ = 76.83°
Closest atoms and distances in Å follow each position.
Fractional positions:
P  0.5000  0.5000  0.0000  4 Ir 2.52, 8 Ni 2.52-2.66
Ni  0.0000  0.0000  0.0000  4 Ir 2.52, 4 Ni 2.52, 4 P 2.66
Ir  0.7500  0.2500  0.5000  4 P 2.52, 8 Ni 2.52-2.66
Ni  0.2500  0.7500  0.5000  4 P 2.52, 4 Ni 2.52, 4 Ir 2.66

=====

(11)
Here is an optimized crystal structure of NiP2Ir from Alexandria via LeMat-Bulk. Energies are from GGA-PBE.

Summary:
Polymorph energy (0 for the lowest one) = 468 meV per atom
Energy relative to the elements = 0.108 eV per atom
Fermi-level density of states = 0.441 states/eV per atom

a = 4.7805 Å, b = 4.7805 Å, c = 4.7805 Å
α = 136.20°, β = 136.20°, γ = 63.68°
Closest atoms and distances in Å follow each position.
Fractional positions:
Ni  0.7500  0.2500  0.5000  8 P 2.52-2.70, 4 Ir 2.70
P  0.2500  0.7500  0.5000  4 Ni 2.52, 4 P 2.70, 4 Ir 2.70
Ir  0.5000  0.5000  0.0000  8 P 2.52-2.70, 4 Ni 2.70
P  0.0000  0.0000  0.0000  4 Ir 2.52, 4 Ni 2.70, 4 P 2.70

=====

(12)
Here is an optimized crystal structure of NiPIr2 from Alexandria via LeMat-Bulk. Energies are from GGA-PBE.

Summary:
Energy relative to the elements = 0.185 eV per atom
Fermi-level density of states = 1.319 states/eV per atom

a = 4.6697 Å, b = 4.6697 Å, c = 4.6697 Å
α = 133.35°, β = 133.35°, γ = 68.10°
Closest atoms and distances in Å follow each position.
Fractional positions:
P  0.7500  0.2500  0.5000  8 Ir 2.61-2.68, 4 Ni 2.68
Ni  0.5000  0.5000  0.0000  8 Ir 2.61-2.68, 4 P 2.68
Ir  0.0000  0.0000  0.0000  4 Ni 2.61, 4 Ir 2.68, 4 P 2.68
Ir  0.2500  0.7500  0.5000  4 P 2.61, 4 Ir 2.68, 4 Ni 2.68

=====

(13)
Here is an optimized crystal structure of NiPIr2 from Alexandria via LeMat-Bulk. Energies are from GGA-PBE.

Summary:
Energy relative to the elements = 0.028 eV per atom
Fermi-level density of states = 1.267 states/eV per atom

a = 4.3146 Å, b = 4.3146 Å, c = 4.3146 Å
α = 125.15°, β = 125.15°, γ = 81.29°
Closest atoms and distances in Å follow each position.
Fractional positions:
Ni  0.5000  0.5000  0.0000  8 Ir 2.57, 4 P 2.81
Ir  0.2500  0.7500  0.5000  4 Ni 2.57, 4 P 2.57, 4 Ir 2.81
Ir  0.7500  0.2500  0.5000  4 Ni 2.57, 4 P 2.57, 4 Ir 2.81
P  0.0000  0.0000  0.0000  8 Ir 2.57, 4 Ni 2.81

=====

(14)
Here is an optimized crystal structure of NiP2Ir from Alexandria via LeMat-Bulk. Energies are from GGA-PBE.

Summary:
Polymorph energy (0 for the lowest one) = 241 meV per atom
Energy relative to the elements = -0.118 eV per atom
Fermi-level density of states = 0.541 states/eV per atom

a = 7.2667 Å, b = 7.2667 Å, c = 7.2667 Å
α = 23.07°, β = 23.07°, γ = 23.07°
Closest atoms and distances in Å follow each position.
Fractional positions:
Ir  0.2500  0.2500  0.2500  6 P 2.52
P  0.4948  0.4948  0.4948  3 Ni 2.36, 3 Ir 2.52
P  0.0052  0.0052  0.0052  3 Ni 2.36, 3 Ir 2.52
Ni  0.7500  0.7500  0.7500  6 P 2.36

=====

(15)
Here is an optimized crystal structure of NiP2Ir from Alexandria via LeMat-Bulk. Energies are from GGA-PBE.

Summary:
Polymorph energy (0 for the lowest one) = 0 meV per atom
Energy relative to the elements = -0.360 eV per atom
Fermi-level density of states = 0.402 states/eV per atom

a = 3.8642 Å, b = 3.8642 Å, c = 5.0239 Å
α = 90.57°, β = 90.57°, γ = 50.15°
Closest atoms and distances in Å follow each position.
Fractional positions:
Ni  0.3125  0.3125  0.0194  5 P 2.22-2.43
P  0.0297  0.0297  0.2148  3 Ni 2.22-2.43, 2 Ir 2.36
P  0.7235  0.7235  0.7403  2 Ni 2.24, 3 Ir 2.28-2.46
Ir  0.4343  0.4343  0.5254  5 P 2.28-2.46